No. 1
A plane-wave DFT calculation with PBE was carried out for an optimized crystal structure of Hf2NbSbH.

abc: 4.5530 4.5530 4.0119
angles: 90.00 90.00 90.00
With the nearest neighbours (Å) after each atom.
Positions (direct):
Sb 0.5000 0.5000 0.5000  8 Hf 3.03, 4 Nb 3.22
Nb 0.0000 0.0000 0.5000  2 H 2.01
Hf 0.0000 0.5000 0.0000  2 H 2.28
Hf 0.5000 0.0000 0.0000  2 H 2.28
H 0.0000 0.0000 0.0000  2 Nb 2.01

Output
As for the final energy: -39.0 eV/cell. Its space group is P4/mmm, No. 123.

---

No. 2
A plane-wave DFT calculation with PBE was carried out for an optimized crystal structure of Ba2InBi3.

abc: 7.1112 11.3405 7.2901
angles: 111.07 119.19 90.00
With the nearest neighbours (Å) after each atom.
Positions (direct):
Ba 0.7470 0.5926 0.3677  6 Bi 3.60-3.72, 1 In 3.97
Ba 0.6207 0.0925 0.3677  6 Bi 3.60-3.72, 1 In 3.97
Ba 0.3793 0.9074 0.6323  6 Bi 3.60-3.72, 1 In 3.97
Ba 0.2530 0.4074 0.6323  6 Bi 3.60-3.72, 1 In 3.97
In 0.8497 0.7500 0.0000  5 Bi 3.08-3.40
In 0.1503 0.2500 0.0000  5 Bi 3.08-3.40
Bi 0.5836 0.2500 0.0000  1 In 3.08
Bi 0.4164 0.7500 0.0000  1 In 3.08
Bi 0.0636 0.0697 0.2482  1 Bi 3.02, 1 In 3.37
Bi 0.8154 0.4303 0.7518  1 Bi 3.02, 1 In 3.37
Bi 0.1846 0.5697 0.2482  1 Bi 3.02, 1 In 3.37
Bi 0.9364 0.9303 0.7518  1 Bi 3.02, 1 In 3.37

Output
As for the final energy: -42.3 eV/cell. Its space group is C2/c, No. 15. The calculation puts the energy relative to the elements at -484 meV per atom. Its energy above the lowest structure with this stoichiometry is 139.7 meV per atom.

---

No. 3
A plane-wave DFT calculation with PBE was carried out for an optimized crystal structure of LiCrPt2.

abc: 4.7783 4.7783 4.5797
angles: 80.97 80.97 33.34
With the nearest neighbours (Å) after each atom.
Positions (direct):
Cr 0.5120 0.5120 0.4576  7 Pt 2.59-2.70, 2 Cr 2.74, 1 Li 2.80
Li 0.7424 0.7424 0.7915  7 Pt 2.54-2.70, 2 Li 2.74, 1 Cr 2.80
Pt 0.9945 0.9945 0.9556  3 Li 2.54-2.65, 4 Cr 2.64-2.70, 2 Pt 2.74
Pt 0.2511 0.2511 0.2953  3 Cr 2.59-2.61, 4 Li 2.64-2.70, 4 Pt 2.74-2.85

Output
As for the final energy: -24.9 eV/cell. Its space group is Cm, No. 8. The calculation puts the energy relative to the elements at -317 meV per atom.

---

No. 4
A plane-wave DFT calculation with PBE was carried out for an optimized crystal structure of MgSc2In.

abc: 3.3064 3.3064 10.3904
angles: 80.84 80.84 60.00
With the nearest neighbours (Å) after each atom.
Positions (direct):
Mg 0.5000 0.5000 0.4999  6 Sc 3.26, 6 Mg 3.31
Sc 0.0804 0.0804 0.7589  3 In 3.12, 3 Mg 3.26, 6 Sc 3.31
Sc 0.2529 0.2529 0.2412  3 In 3.12, 3 Mg 3.26, 6 Sc 3.31
In 0.6667 0.6667 0.0000  6 Sc 3.12, 6 In 3.31

Output
As for the final energy: -17.4 eV/cell. Its space group is R3m, No. 160. The calculation puts the energy relative to the elements at -96 meV per atom. Its energy above the lowest structure with this stoichiometry is 201.8 meV per atom.